A relaxed structure of BeCoSO, computed with PBE+U.

Output
E (eV per atom): -4.78
Distance to the lowest polymorph of the same formula (meV/atom): 1015.3

Cell and atoms, written as CIF:
```
data_BeCoSO
_chemical_formula_sum 'Be2 Co2 S2 O2'
_cell_length_a 3.8163
_cell_length_b 3.8163
_cell_length_c 5.6645
_cell_angle_alpha 90.00
_cell_angle_beta 90.00
_cell_angle_gamma 90.00
_space_group_name_H-M_alt 'P 4/n m m'
_space_group_IT_number 129
loop_
_space_group_symop_operation_xyz
'x,y,z'
'-x,-y,-z'
'-y+1/2,x,z'
'y+1/2,-x,-z'
'-x+1/2,-y+1/2,z'
'x+1/2,y+1/2,-z'
'y,-x+1/2,z'
'-y,x+1/2,-z'
'x+1/2,-y,-z'
'-x+1/2,y,z'
'-y,-x,-z'
'y,x,z'
'-x,y+1/2,-z'
'x,-y+1/2,z'
'y+1/2,x+1/2,-z'
'-y+1/2,-x+1/2,z'
loop_
_atom_site_label
_atom_site_type_symbol
_atom_site_fract_x
_atom_site_fract_y
_atom_site_fract_z
Be1 Be 0.2500 0.2500 0.2440
Co1 Co 0.2500 0.7500 0.0000
S1 S 0.2500 0.2500 0.7817
O1 O 0.2500 0.2500 0.5047
```